No. 1
First-principles (PBE) data for an optimized crystal structure of BaAgBi2, as listed in Alexandria via LeMat-Bulk.

```
BaAgBi2
1.0
1.858 1.073 11.395
-1.858 1.073 11.395
0.000 -2.146 11.395
Ba Ag Bi
1 1 2
Cartesian
0.000 0.000 0.000 Ba
0.000 0.000 17.093 Ag
0.000 0.000 3.512 Bi
0.000 0.000 30.674 Bi
```

Calculated values
Fermi-level density of states (states/eV/cell): 3.3
E_form (eV per atom): 0.14

---

No. 2
First-principles (PBE) data for an optimized crystal structure of Ho2Zn2Cd, as listed in Alexandria via LeMat-Bulk.

```
Ho2Zn2Cd
1.0
2.209 -7.048 0.000
2.209 7.048 0.000
0.000 0.000 3.598
Ho Zn Cd
2 2 1
Cartesian
2.209 5.272 0.000 Ho
2.209 -5.272 0.000 Ho
2.209 2.846 1.799 Zn
2.209 -2.846 1.799 Zn
2.209 0.000 1.799 Cd
```

Calculated values
Fermi-level density of states (states/eV/cell): 4.4
E_form (eV per atom): -0.34

---

No. 3
First-principles (PBE) data for an optimized crystal structure of YMg2WBr, as listed in Alexandria via LeMat-Bulk.

```
YMg2WBr
1.0
5.078 0.000 0.000
0.000 5.078 0.000
0.000 0.000 4.794
Y Mg W Br
1 2 1 1
Cartesian
0.000 0.000 0.000 Y
0.000 2.539 2.397 Mg
2.539 0.000 2.397 Mg
2.539 2.539 0.000 W
2.539 2.539 2.397 Br
```

Calculated values
Fermi-level density of states (states/eV/cell): 4.9
Formation energy (no corrections) (eV/atom): 0.899

---

No. 4
First-principles (PBE) data for an optimized crystal structure of RbTaPb3, as listed in Alexandria via LeMat-Bulk.

```
RbTaPb3
1.0
5.604 0.000 0.000
0.000 5.604 0.000
0.000 0.000 5.604
Rb Ta Pb
1 1 3
Cartesian
0.000 0.000 0.000 Rb
2.802 2.802 2.802 Ta
0.000 2.802 2.802 Pb
2.802 0.000 2.802 Pb
2.802 2.802 0.000 Pb
```

Calculated values
E above lowest polymorph (meV/atom): 0
Fermi-level density of states (states/eV/cell): 1.9
E_form (eV per atom): 0.20

---

Number 1: total magnetic moment 0.00 μB/f.u.. Number 2: total magnetic moment 0.00 μB/f.u.. Number 3: total magnetic moment 0.00 μB/f.u.. Number 4: total magnetic moment 0.00 μB/f.u..